Here is SrEu2Al2O7 after structural relaxation from Alexandria via LeMat-Bulk. Energies are from GGA-PBEsol.

Cell and atoms, written as extended XYZ:
```
12
Lattice="-1.859 1.859 9.853 1.859 -1.859 9.853 1.859 1.859 -9.853" Properties=species:S:1:pos:R:3 pbc="T T T"
Sr 0.000 0.000 0.000
Eu 0.000 0.000 3.591
Eu 0.000 0.000 16.114
Al 0.000 0.000 7.979
Al 0.000 0.000 11.726
O 1.859 0.000 2.024
O 0.000 0.000 5.889
O 1.859 0.000 7.829
O 0.000 0.000 9.853
O 0.000 1.859 2.024
O 0.000 0.000 13.816
O 0.000 1.859 7.829
```

Spin magnetization, μB/f.u.: 12.000
E_form (uncorrected), eV per atom: -3.02
Symmetry: I4/mmm
Density of states at the Fermi level, states/eV/f.u.: 13.10